A plane-wave DFT calculation with GGA-PBE was carried out for a geometry-optimized Pm3Pr5Ag2 structure.

Results
The value obtained for the volume is 333 Å³/f.u. For the density of states at the Fermi level, the calculation gives 1.4159 states/eV/atom. For the total energy, the calculation gives -85.51 eV per cell. As for the symmetry: Ibam. The calculation puts the total magnetic moment at 0.00 Bohr magnetons per cell.

a b c (Å): 10.713 10.713 10.713
angles (deg): 113.09 79.13 142.79
Positions (direct):
Pm  0.169  0.220  0.389
Pm  0.250  0.250  0.000
Pm  0.331  0.720  0.050
Pm  0.669  0.280  0.950
Pm  0.750  0.750  0.000
Pm  0.831  0.780  0.611
Pr  0.054  0.750  0.304
Pr  0.065  0.731  0.796
Pr  0.250  0.750  0.500
Pr  0.435  0.231  0.666
Pr  0.446  0.750  0.696
Pr  0.554  0.250  0.304
Pr  0.565  0.769  0.334
Pr  0.750  0.250  0.500
Pr  0.935  0.269  0.204
Pr  0.946  0.250  0.696
Ag  0.157  0.946  0.103
Ag  0.343  0.446  0.789
Ag  0.657  0.554  0.211
Ag  0.843  0.054  0.897

***

A plane-wave DFT calculation with GGA-PBE was carried out for a geometry-optimized ZnCu2Br structure.

Results
The value obtained for the volume is 74 Å³/f.u. For the density of states at the Fermi level, the calculation gives 0.3804 states/eV/atom. For the polymorph energy (0 for the lowest one), the calculation gives 0.46 eV per formula unit. As for the raw formation energy: 0.1614 eV per atom. As for the symmetry: R-3m. The calculation puts the total magnetic moment at 0.00 Bohr magnetons per cell.

a b c (Å): 5.942 5.942 5.942
angles (deg): 38.88 38.88 38.88
Positions (direct):
Zn  0.000  0.000  0.000
Cu  0.283  0.283  0.283
Cu  0.717  0.717  0.717
Br  0.500  0.500  0.500

***

> Which formula does entry 2 have?

ZnCu2Br